# PBE Rb2SbRuO6, relaxed
# Spin magnetization in μB per formula unit: 2.89
# Calculated total energy in eV/atom: -5.655
# Symmetry: Fm-3m (225)
# Raw formation energy in meV/atom: -1147.0
data_Rb2SbRuO6
_chemical_formula_sum 'Rb2 Sb1 Ru1 O6'
_symmetry_space_group_name_H-M 'P 1'
_symmetry_Int_Tables_number 1
_cell_length_a 5.745
_cell_length_b 5.745
_cell_length_c 5.745
_cell_angle_alpha 59.99
_cell_angle_beta 59.99
_cell_angle_gamma 90.00
loop_
_symmetry_equiv_pos_as_xyz
'x,y,z'
loop_
_atom_site_label
_atom_site_fract_x
_atom_site_fract_y
_atom_site_fract_z
Rb1 0.750 0.250 0.500
Rb2 0.250 0.750 0.500
Sb1 0.500 0.500 0.000
Ru1 0.000 0.000 0.000
O1 0.247 0.247 0.505
O2 0.752 0.752 0.000
O3 0.248 0.753 0.000
O4 0.752 0.247 0.000
O5 0.248 0.248 0.000
O6 0.753 0.753 0.495